MgBS after structural relaxation. Source: the Alexandria database, functional PBE-GGA.

POSCAR file:
```
MgBS
1.0
-1.020 -1.041 3.428
-2.951 -0.791 -1.118
5.581 -13.019 -5.526
S B Mg
4 4 4
direct
0.679 0.000 0.468
0.679 0.500 0.968
0.294 0.000 0.660
0.294 0.500 0.160
0.533 0.000 0.339
0.533 0.500 0.839
0.491 0.000 0.797
0.491 0.500 0.297
0.943 0.000 0.242
0.943 0.500 0.742
0.223 0.000 0.020
0.223 0.500 0.520
```

Calculated values
- E_form (uncorrected) (eV per atom) = -0.48
- calculated total energy (eV/f.u.) = -13.85
- E above lowest polymorph (eV per atom) = 0.036

---

MgBS3 after structural relaxation. Source: the Alexandria database, functional PBE-GGA.

POSCAR file:
```
MgBS3
1.0
4.256 0.000 0.000
0.000 4.256 0.000
0.000 0.000 4.256
S B Mg
3 1 1
direct
0.000 0.500 0.000
0.000 0.000 0.500
0.500 0.000 0.000
0.000 0.000 0.000
0.500 0.500 0.500
```

Calculated values
- E_form (uncorrected) (eV per atom) = 0.26
- calculated total energy (eV/f.u.) = -19.35
- E above lowest polymorph (eV per atom) = 0.713

---

MgBS after structural relaxation. Source: the Alexandria database, functional PBE-GGA.

POSCAR file:
```
MgBS
1.0
-3.325 1.116 -1.437
-0.959 -3.156 -0.230
-2.793 0.337 7.027
S B Mg
2 2 2
direct
0.720 0.000 0.848
0.254 0.500 0.468
0.927 0.250 0.075
0.927 0.750 0.075
0.741 0.000 0.374
0.221 0.500 0.792
```

Calculated values
- E_form (uncorrected) (eV per atom) = -0.42
- calculated total energy (eV/f.u.) = -13.66
- E above lowest polymorph (eV per atom) = 0.099

---

MgBS after structural relaxation. Source: the Alexandria database, functional PBE-GGA.

POSCAR file:
```
MgBS
1.0
-0.992 -3.619 -0.203
2.417 -2.674 1.065
-2.537 -1.709 8.096
S B Mg
2 2 2
direct
0.261 0.261 0.216
0.739 0.739 0.784
0.178 0.178 0.465
0.822 0.822 0.535
0.441 0.441 0.677
0.559 0.559 0.323
```

Calculated values
- E_form (uncorrected) (eV per atom) = -0.21
- calculated total energy (eV/f.u.) = -13.02
- E above lowest polymorph (eV per atom) = 0.311

---

MgTaBS2 after structural relaxation. Source: the Alexandria database, functional PBE-GGA.

POSCAR file:
```
MgTaBS2
1.0
4.290 0.000 0.000
0.000 4.130 0.000
0.000 0.000 4.290
S B Mg Ta
2 1 1 1
direct
0.000 0.000 0.500
0.500 0.000 0.000
0.000 0.000 0.000
0.000 0.500 0.000
0.500 0.500 0.500
```

Calculated values
- E_form (uncorrected) (eV per atom) = 0.95
- calculated total energy (eV/f.u.) = -23.61

---

Mg2BSb after structural relaxation. Source: the Alexandria database, functional PBE-GGA.

POSCAR file:
```
Mg2BSb
1.0
8.023 0.000 0.000
0.000 8.023 0.000
4.011 4.011 2.544
Sb Mg B
2 4 2
direct
0.000 0.000 0.000
0.750 0.250 0.500
0.506 0.125 0.250
0.244 0.625 0.250
0.375 0.494 0.750
0.875 0.756 0.750
0.500 0.500 0.000
0.250 0.750 0.500
```

Calculated values
- E_form (uncorrected) (eV per atom) = 0.47
- calculated total energy (eV/f.u.) = -12.12
- E above lowest polymorph (eV per atom) = 0.000